Material: AcNd4Y
Method: DFT, PBE-GGA
State: relaxed

ΔH_f (0 K) (eV per formula unit): 1.4
Offset from the most stable computed form (eV/f.u.): 0.42

Unit cell a=6.9869 b=12.4699 c=10.1695 alpha=90.00 beta=90.00 gamma=90.00
Space group Cmcm (No. 63)
Symmetry-distinct sites (fractional):
Ac 0.0000 0.1864 0.2500 [4 per cell]
Nd 0.0000 0.3278 0.5712 [8 per cell]
Nd 0.2236 0.4280 0.2500 [8 per cell]
Y 0.0000 0.0000 0.0000 [4 per cell]


Material: Y3ScTl4Te8
Method: DFT, PBE-GGA
State: relaxed

Unit cell a=8.8170 b=8.8170 c=24.5078 alpha=90.00 beta=90.00 gamma=120.00
Space group R-3m (No. 166, hexagonal axes)
Symmetry-distinct sites (fractional):
Y 0.0000 0.5000 0.0000 [9 per cell]
Sc 0.0000 0.0000 0.0000 [3 per cell]
Tl 0.0000 0.0000 0.5000 [3 per cell]
Tl 0.0000 0.5000 0.5000 [9 per cell]
Te 0.0000 0.0000 0.2615 [6 per cell]
Te 0.0108 0.5054 0.7365 [18 per cell]


Material: CrBi2S4
Method: DFT, PBE-GGA
State: relaxed

Unit cell a=4.6190 b=4.6190 c=14.4010 alpha=90.00 beta=90.00 gamma=90.00
Space group I4/mmm (No. 139)
Symmetry-distinct sites (fractional):
Cr 0.0000 0.0000 0.0000 [2 per cell]
Bi 0.0000 0.0000 0.3625 [4 per cell]
S 0.0000 0.0000 0.1719 [4 per cell]
S 0.0000 0.5000 0.0000 [4 per cell]


Material: ScNi2Os
Method: DFT, PBE-GGA
State: relaxed

ΔH_f (0 K) (eV per formula unit): 0.7
Offset from the most stable computed form (eV/f.u.): 1.38

Unit cell a=2.7633 b=2.7633 c=25.5501 alpha=90.00 beta=90.00 gamma=120.00
Space group R3m (No. 160, hexagonal axes)
Symmetry-distinct sites (fractional):
Sc 0.0000 0.0000 0.0000 [3 per cell]
Ni 0.0000 0.0000 0.2502 [3 per cell]
Ni 0.0000 0.0000 0.5067 [3 per cell]
Os 0.0000 0.0000 0.7619 [3 per cell]


Material: CdSb2H
Method: DFT, PBE-GGA
State: relaxed

Offset from the most stable computed form (eV/f.u.): 1.36

Unit cell a=6.9797 b=6.9797 c=6.9797 alpha=90.00 beta=90.00 gamma=90.00
Space group Fm-3m (No. 225)
Symmetry-distinct sites (fractional):
Cd 0.0000 0.0000 0.0000 [4 per cell]
Sb 0.2500 0.2500 0.2500 [8 per cell]
H 0.0000 0.0000 0.5000 [4 per cell]


Material: RbIn2Si
Method: DFT, PBE-GGA
State: relaxed

Unit cell a=8.7765 b=8.7765 c=6.8921 alpha=90.00 beta=90.00 gamma=90.00
Space group I-42d (No. 122)
Symmetry-distinct sites (fractional):
Rb 0.0000 0.0000 0.0000 [4 per cell]
In 0.1613 0.2500 0.6250 [8 per cell]
Si 0.0000 0.0000 0.5000 [4 per cell]


Material: SrNdC2O6
Method: DFT, PBE-GGA
State: relaxed

Unit cell a=8.6075 b=10.0063 c=6.5662 alpha=90.00 beta=107.58 gamma=90.00
Space group C2/c (No. 15)
Symmetry-distinct sites (fractional):
Sr 0.0000 0.1522 0.2500 [4 per cell]
Nd 0.0000 0.4144 0.7500 [4 per cell]
C 0.2360 0.1173 0.7192 [8 per cell]
O 0.1224 0.3706 0.1312 [8 per cell]
O 0.1457 0.2214 0.6542 [8 per cell]
O 0.1932 0.0009 0.1362 [8 per cell]


Material: GePbAu3
Method: DFT, PBE-GGA
State: relaxed

ΔH_f (0 K) (eV per formula unit): 0.0
Offset from the most stable computed form (eV/f.u.): 0.01

Unit cell a=8.7580 b=4.4385 c=11.0766 alpha=90.00 beta=90.00 gamma=90.00
Space group Pnma (No. 62)
Symmetry-distinct sites (fractional):
Ge 0.1007 0.2500 0.1350 [4 per cell]
Pb 0.1739 0.2500 0.5007 [4 per cell]
Au 0.0794 0.2500 0.8985 [4 per cell]
Au 0.1078 0.7500 0.3167 [4 per cell]
Au 0.1272 0.7500 0.7136 [4 per cell]


| no. | energy (eV per atom) |
| --- | --- |
| 1 | -4.704 |
| 2 | -4.798 |
| 3 | -5.023 |
| 4 | -7.095 |
| 5 | -2.583 |
| 6 | -2.746 |
| 7 | -7.558 |
| 8 | -3.633 |